# 1
This record from Alexandria describes a relaxed YHoTmTh crystal. The functional is PBE-GGA.

Values from the calculation:
Magnetization in Bohr magnetons per cell: 0.00
Formation energy in meV per atom: 137.7
Energy relative to the lowest polymorph listed for this composition in meV/atom: 132

POSCAR file:
```
YHoTmTh
1.0
7.984 0.000 0.000
0.000 7.984 0.000
0.000 0.000 7.984
Y Ho Tm Th
4 4 4 4
direct
0.000 0.000 0.000
0.000 0.500 0.500
0.500 0.000 0.500
0.500 0.500 0.000
0.250 0.250 0.250
0.250 0.750 0.750
0.750 0.250 0.750
0.750 0.750 0.250
0.250 0.250 0.750
0.250 0.750 0.250
0.750 0.250 0.250
0.750 0.750 0.750
0.000 0.000 0.500
0.000 0.500 0.000
0.500 0.000 0.000
0.500 0.500 0.500
```

---

# 2
This record from Alexandria describes a relaxed YHoTm3Th crystal. The functional is PBE-GGA.

Values from the calculation:
Magnetization in Bohr magnetons per cell: 0.00
Formation energy in meV per atom: 24.2

POSCAR file:
```
YHoTm3Th
1.0
10.552 0.000 0.000
0.000 3.539 0.000
-3.468 0.000 9.966
Y Ho Tm Th
2 2 6 2
direct
0.209 0.250 0.375
0.791 0.750 0.625
0.125 0.750 0.628
0.875 0.250 0.372
0.042 0.250 0.876
0.293 0.750 0.121
0.459 0.750 0.628
0.541 0.250 0.372
0.707 0.250 0.879
0.958 0.750 0.124
0.376 0.250 0.874
0.624 0.750 0.126
```